No. 1
Zr3V: relaxed, PBE.

Results
The value obtained for the formation energy is 0.13 eV per atom. As for the crystal system: orthorhombic. As for the volume: 20.99 A^3/atom. The value obtained for the energy is -8.56 eV per atom. The value obtained for the density of states at the Fermi level is 1.3277 states/eV per atom. For the density, the calculation gives 6.42 g/cm3.

Cell and atoms, written as CIF:
```
data_Zr3V
_cell_length_a 5.789
_cell_length_b 5.789
_cell_length_c 5.789
_cell_angle_alpha 145.28
_cell_angle_beta 62.46
_cell_angle_gamma 129.82
_space_group_name_H-M_alt 'P 1'
_space_group_IT_number 1
loop_
_space_group_symop_operation_xyz
'x,y,z'
loop_
_atom_site_label
_atom_site_type_symbol
_atom_site_fract_x
_atom_site_fract_y
_atom_site_fract_z
Zr1 Zr 0.000 0.000 0.000
Zr2 Zr 0.274 0.499 0.774
Zr3 Zr 0.725 0.499 0.226
V1 V 0.501 0.001 0.500
```



No. 2
Zr3V: relaxed, PBE.

Results
The value obtained for the formation energy is 0.17 eV per atom. As for the crystal system: tetragonal. As for the volume: 20.92 A^3/atom. The value obtained for the energy is -8.52 eV per atom. The value obtained for the density of states at the Fermi level is 1.2496 states/eV per atom. For the density, the calculation gives 6.44 g/cm3.

Cell and atoms, written as CIF:
```
data_Zr3V
_cell_length_a 4.906
_cell_length_b 4.906
_cell_length_c 4.906
_cell_angle_alpha 119.86
_cell_angle_beta 119.86
_cell_angle_gamma 90.24
_space_group_name_H-M_alt 'P 1'
_space_group_IT_number 1
loop_
_space_group_symop_operation_xyz
'x,y,z'
loop_
_atom_site_label
_atom_site_type_symbol
_atom_site_fract_x
_atom_site_fract_y
_atom_site_fract_z
Zr1 Zr 0.000 0.000 0.000
Zr2 Zr 0.250 0.750 0.500
Zr3 Zr 0.750 0.250 0.500
V1 V 0.500 0.500 0.000
```



No. 3
Zr3V: relaxed, PBE.

Results
The value obtained for the formation energy is 0.38 eV per atom. As for the crystal system: orthorhombic. As for the volume: 21.38 A^3/atom. The value obtained for the energy is -8.32 eV per atom. The value obtained for the density of states at the Fermi level is 1.3300 states/eV per atom. For the density, the calculation gives 6.30 g/cm3.

Cell and atoms, written as CIF:
```
data_Zr3V
_cell_length_a 2.924
_cell_length_b 2.974
_cell_length_c 9.833
_cell_angle_alpha 90.00
_cell_angle_beta 90.00
_cell_angle_gamma 90.00
_space_group_name_H-M_alt 'P 1'
_space_group_IT_number 1
loop_
_space_group_symop_operation_xyz
'x,y,z'
loop_
_atom_site_label
_atom_site_type_symbol
_atom_site_fract_x
_atom_site_fract_y
_atom_site_fract_z
Zr1 Zr 0.000 0.000 0.000
Zr2 Zr 0.000 0.500 0.298
Zr3 Zr 0.500 0.500 0.757
V1 V 0.500 0.000 0.507
```



No. 4
ZrV: relaxed, PBE.

Results
The value obtained for the formation energy is 0.17 eV per atom. As for the crystal system: orthorhombic. As for the volume: 18.60 A^3/atom. The value obtained for the energy is -8.66 eV per atom. The value obtained for the density of states at the Fermi level is 1.3991 states/eV per atom. For the density, the calculation gives 6.35 g/cm3.

Cell and atoms, written as CIF:
```
data_ZrV
_cell_length_a 8.021
_cell_length_b 8.021
_cell_length_c 8.021
_cell_angle_alpha 157.49
_cell_angle_beta 145.53
_cell_angle_gamma 41.56
_space_group_name_H-M_alt 'P 1'
_space_group_IT_number 1
loop_
_space_group_symop_operation_xyz
'x,y,z'
loop_
_atom_site_label
_atom_site_type_symbol
_atom_site_fract_x
_atom_site_fract_y
_atom_site_fract_z
Zr1 Zr 0.000 0.000 0.000
Zr2 Zr 0.187 0.687 0.500
Zr3 Zr 0.813 0.313 0.500
V1 V 0.374 0.874 0.500
V2 V 0.500 0.500 0.000
V3 V 0.626 0.126 0.500
```



No. 5
ZrV2: relaxed, PBE.

Results
The value obtained for the formation energy is 0.13 eV per atom. As for the crystal system: triclinic. As for the volume: 16.65 A^3/atom. The value obtained for the energy is -8.80 eV per atom. The value obtained for the density of states at the Fermi level is 1.5072 states/eV per atom. For the density, the calculation gives 6.42 g/cm3.

Cell and atoms, written as CIF:
```
data_ZrV2
_cell_length_a 3.153
_cell_length_b 5.323
_cell_length_c 6.735
_cell_angle_alpha 67.86
_cell_angle_beta 87.86
_cell_angle_gamma 73.25
_space_group_name_H-M_alt 'P 1'
_space_group_IT_number 1
loop_
_space_group_symop_operation_xyz
'x,y,z'
loop_
_atom_site_label
_atom_site_type_symbol
_atom_site_fract_x
_atom_site_fract_y
_atom_site_fract_z
Zr1 Zr 0.150 0.179 0.092
Zr2 Zr 0.850 0.821 0.908
V1 V 0.167 0.180 0.561
V2 V 0.493 0.500 0.299
V3 V 0.507 0.500 0.701
V4 V 0.833 0.820 0.439
```



No. 6
ZrV: relaxed, PBE.

Results
The value obtained for the formation energy is 0.11 eV per atom. As for the crystal system: orthorhombic. As for the volume: 18.36 A^3/atom. The value obtained for the energy is -8.73 eV per atom. The value obtained for the density of states at the Fermi level is 1.3500 states/eV per atom. For the density, the calculation gives 6.43 g/cm3.

Cell and atoms, written as CIF:
```
data_ZrV
_cell_length_a 5.565
_cell_length_b 5.565
_cell_length_c 5.565
_cell_angle_alpha 145.61
_cell_angle_beta 130.32
_cell_angle_gamma 61.82
_space_group_name_H-M_alt 'P 1'
_space_group_IT_number 1
loop_
_space_group_symop_operation_xyz
'x,y,z'
loop_
_atom_site_label
_atom_site_type_symbol
_atom_site_fract_x
_atom_site_fract_y
_atom_site_fract_z
Zr1 Zr 0.365 0.115 0.250
Zr2 Zr 0.635 0.885 0.750
V1 V 0.093 0.343 0.750
V2 V 0.907 0.657 0.250
```